Compound: PrCuSb2
Source: Alexandria
Functional: GGA-PBE
Structure: optimized geometry

## Properties
Its final energy is -4.96 eV/atom. Its space group is P4/nmm (129). The calculation puts the theoretical density at 7.6 g/cm3. The value obtained for the density of states at the Fermi level is 2.67 states/eV/cell. The magnetic moment comes out at 0.000 μB per atom.

Cell lengths 4.3934, 4.3934, 10.1869 Å; angles 90.00, 90.00, 90.00 degrees
Fractional coordinates of all 8 atoms:
Pr: 0.2500 0.2500 0.2501
Pr: 0.7500 0.7500 0.7499
Cu: 0.2500 0.7500 0.0000
Cu: 0.7500 0.2500 0.0000
Sb: 0.2500 0.2500 0.8493
Sb: 0.2500 0.7500 0.5000
Sb: 0.7500 0.2500 0.5000
Sb: 0.7500 0.7500 0.1507